Record 1
Material: Cs4Nd3NpSe8
Method: DFT, PBE
State: optimized geometry

Summary:
DFT total energy ... -5.256 eV per atom
Uncorrected formation energy ... -1597 meV/atom
Total moment ... 4.00 μB/f.u.

a = 8.7952 Å, b = 8.7952 Å, c = 25.1671 Å
α = 90.00°, β = 90.00°, γ = 120.00°
Closest atoms and distances in Å follow each position.
Space group R-3m (No. 166, hexagonal axes)
Unique sites:
Cs: 0.0000 0.0000 0.0000  6 Se 3.66
Cs: 0.0000 0.5000 0.0000  6 Se 3.63
Nd: 0.0000 0.5000 0.5000  6 Se 3.00
Np: 0.0000 0.0000 0.5000  6 Se 2.97
Se: 0.0000 0.0000 0.2304  3 Nd 3.00
Se: 0.0035 0.5017 0.2295  1 Np 2.97, 2 Nd 3.00

Record 2
Material: Cs3Nd2NpSe6
Method: DFT, PBE
State: optimized geometry

Summary:
DFT total energy ... -5.381 eV per atom
Uncorrected formation energy ... -1553 meV/atom
Total moment ... 4.00 μB/f.u.

a = 7.6098 Å, b = 13.1680 Å, c = 8.7642 Å
α = 90.00°, β = 106.76°, γ = 90.00°
Closest atoms and distances in Å follow each position.
Space group C2/m (No. 12)
Unique sites:
Cs: 0.0000 0.0000 0.0000  6 Se 3.63-3.65
Cs: 0.0000 0.3316 0.0000  6 Se 3.63-3.65
Nd: 0.0000 0.1659 0.5000  6 Se 3.00-3.01
Np: 0.0000 0.5000 0.5000  6 Se 2.96-2.97
Se: 0.2278 0.3356 0.6889  1 Np 2.96, 2 Nd 3.00-3.01
Se: 0.2341 0.0000 0.6899  1 Np 2.97, 2 Nd 3.00

Record 3
Material: Cs5NdO4
Method: DFT, PBE
State: optimized geometry

Summary:
DFT total energy ... -4.464 eV per atom
Uncorrected formation energy ... -1578 meV/atom
Total moment ... 0.00 μB/f.u.

a = 8.6932 Å, b = 10.1098 Å, c = 7.0313 Å
α = 90.00°, β = 90.00°, γ = 90.00°
Closest atoms and distances in Å follow each position.
Space group Pmmn (No. 59, origin choice 2)
Unique sites:
Cs: 0.0112 0.0642 0.2448  3 O 2.95-3.11
Cs: 0.2500 0.7500 0.3189  2 O 2.84
Nd: 0.2500 0.2500 0.7207  4 O 2.27-2.29
O: 0.0289 0.2500 0.8926  1 Nd 2.27
O: 0.2500 0.0600 0.5429  1 Nd 2.29

Record 4
Material: CsNdO
Method: DFT, PBE
State: optimized geometry

Summary:
DFT total energy ... -5.011 eV per atom
Uncorrected formation energy ... -1484 meV/atom
Total moment ... 0.00 μB/f.u.

a = 6.7771 Å, b = 3.9202 Å, c = 14.9053 Å
α = 90.00°, β = 91.61°, γ = 90.00°
Closest atoms and distances in Å follow each position.
Space group C2/m (No. 12)
Unique sites:
Cs: 0.0229 0.0000 0.3449  3 O 3.56-3.58, 6 Cs 3.91-3.92
Nd: 0.1725 0.5000 0.1140  3 O 2.36
O: 0.1582 0.5000 0.8411  3 Nd 2.36

Record 5
Material: Cs2NdOs3O12
Method: DFT, PBE
State: optimized geometry

Summary:
DFT total energy ... -7.023 eV per atom
Uncorrected formation energy ... -1486 meV/atom
Total moment ... 2.16 μB/f.u.

a = 7.3758 Å, b = 7.3758 Å, c = 19.2727 Å
α = 90.00°, β = 90.00°, γ = 120.00°
Closest atoms and distances in Å follow each position.
Space group R-3m (No. 166, hexagonal axes)
Unique sites:
Cs: 0.0000 0.0000 0.1149  9 O 3.31-3.55
Nd: 0.0000 0.0000 0.5000  6 O 2.35
Os: 0.0000 0.5000 0.0000  6 O 1.88-1.93
O: 0.0314 0.5157 0.0967  1 Os 1.88
O: 0.0816 0.5408 0.3407  2 Os 1.93

Record 6
Material: Cs2NdOsO6
Method: DFT, PBE
State: optimized geometry

Summary:
DFT total energy ... -6.462 eV per atom
Uncorrected formation energy ... -1716 meV/atom
Total moment ... 1.05 μB/f.u.

a = 6.7237 Å, b = 6.7237 Å, c = 6.0062 Å
α = 90.00°, β = 90.00°, γ = 120.00°
Closest atoms and distances in Å follow each position.
Space group P-3m1 (No. 164)
Unique sites:
Cs: 0.3333 0.6667 0.3763  3 O 3.04
Nd: 0.0000 0.0000 0.0000  6 O 2.38
Os: 0.0000 0.0000 0.5000  6 O 1.92
O: 0.1306 0.2612 0.6957  1 Os 1.92

Record 7
Material: CsNdOs2O8
Method: DFT, PBE
State: optimized geometry

Summary:
DFT total energy ... -7.182 eV per atom
Uncorrected formation energy ... -1536 meV/atom
Total moment ... 4.03 μB/f.u.

a = 6.1373 Å, b = 6.1373 Å, c = 8.5896 Å
α = 90.00°, β = 90.00°, γ = 120.00°
Closest atoms and distances in Å follow each position.
Space group P-3 (No. 147)
Unique sites:
Cs: 0.0000 0.0000 0.0000  12 O 3.38-3.57
Nd: 0.0000 0.0000 0.5000  6 O 2.35
Os: 0.3333 0.6667 0.7448  4 O 1.77-1.82
O: 0.1678 0.3460 0.6705  1 Os 1.82
O: 0.3333 0.6667 0.9509  1 Os 1.77

Record 8
Material: CsNdP2O6
Method: DFT, PBE
State: optimized geometry

Summary:
DFT total energy ... -6.899 eV per atom
Uncorrected formation energy ... -2280 meV/atom
Total moment ... 2.00 μB/f.u.

a = 9.0189 Å, b = 10.6586 Å, c = 8.0062 Å
α = 90.00°, β = 110.15°, γ = 90.00°
Closest atoms and distances in Å follow each position.
Space group C2/c (No. 15)
Unique sites:
Cs: 0.0000 0.1366 0.2500  8 O 3.07-3.31
Nd: 0.0000 0.4327 0.7500  8 O 2.43-2.69
P: 0.2386 0.1270 0.7909  3 O 1.54-1.58
O: 0.0889 0.3868 0.0700  1 P 1.58
O: 0.1813 0.2635 0.7502  1 P 1.54
O: 0.2404 0.0482 0.6283  1 P 1.55

Record 9
Material: Cs3NdP2O8
Method: DFT, PBE
State: optimized geometry

Summary:
DFT total energy ... -6.658 eV per atom
Uncorrected formation energy ... -2529 meV/atom
Total moment ... 0.00 μB/f.u.

a = 5.9291 Å, b = 5.9291 Å, c = 8.7649 Å
α = 90.00°, β = 90.00°, γ = 120.00°
Closest atoms and distances in Å follow each position.
Space group P-3m1 (No. 164)
Unique sites:
Cs: 0.0000 0.0000 0.0000  12 O 3.55-3.60, 6 Cs 3.97
Cs: 0.3333 0.6667 0.7710  7 O 2.96-3.14
Nd: 0.0000 0.0000 0.5000  6 O 2.37
P: 0.3333 0.6667 0.2847  4 O 1.54-1.57
O: 0.1896 0.3793 0.3455  1 P 1.57
O: 0.3333 0.6667 0.1092  1 P 1.54

Record 10
Material: CsNdP4O12
Method: DFT, PBE
State: optimized geometry

Summary:
DFT total energy ... -7.283 eV per atom
Energy above the most stable polymorph in this dataset ... 0.00 eV per formula unit
Uncorrected formation energy ... -2463 meV/atom
Total moment ... 0.00 μB/f.u.

a = 15.4066 Å, b = 21.7865 Å, c = 13.3379 Å
α = 90.00°, β = 125.26°, γ = 90.00°
Closest atoms and distances in Å follow each position.
Space group Cc (No. 9)
Unique sites:
Cs: 0.0000 0.0011 0.0000  6 O 3.15-3.27
Cs: 0.0102 0.2512 0.5298  6 O 3.15-3.26
Cs: 0.1112 0.3827 0.2575  6 O 3.16-3.27
Nd: 0.0604 0.1886 0.8897  8 O 2.44-2.52
Nd: 0.1827 0.4377 0.6370  8 O 2.45-2.52
Nd: 0.2472 0.1243 0.5109  8 O 2.43-2.54
P: 0.0764 0.1603 0.1773  4 O 1.49-1.65
P: 0.1537 0.3372 0.8428  4 O 1.49-1.63
P: 0.1965 0.1199 0.7560  4 O 1.50-1.63
P: 0.2138 0.0439 0.9432  4 O 1.49-1.64
P: 0.2156 0.4599 0.9364  4 O 1.50-1.64
P: 0.2826 0.2927 0.5823  4 O 1.50-1.63
P: 0.2931 0.2903 0.0890  4 O 1.49-1.64
P: 0.3243 0.4133 0.1832  4 O 1.50-1.63
P: 0.4120 0.0894 0.8480  4 O 1.50-1.64
P: 0.4127 0.0025 0.5027  4 O 1.49-1.63
P: 0.4228 0.2471 0.5216  4 O 1.49-1.64
P: 0.4513 0.3702 0.7681  4 O 1.49-1.64
O: 0.0178 0.3897 0.4569  1 P 1.50
O: 0.0284 0.2295 0.1537  2 P 1.63-1.64
O: 0.0283 0.4916 0.6030  1 P 1.51
O: 0.0480 0.1414 0.3948  1 P 1.49
O: 0.0711 0.1394 0.0672  1 P 1.49
O: 0.0721 0.2929 0.8244  1 P 1.49
O: 0.1362 0.4015 0.8918  2 P 1.62-1.63
O: 0.1424 0.1706 0.7767  1 P 1.50
O: 0.1632 0.3502 0.7385  1 P 1.51
O: 0.1674 0.1079 0.6296  1 P 1.50
O: 0.1674 0.4877 0.4617  1 P 1.50
O: 0.1760 0.0193 0.4465  1 P 1.51
O: 0.1773 0.1586 0.3038  1 P 1.50
O: 0.1790 0.0980 0.9800  1 P 1.49
O: 0.1798 0.0548 0.8033  2 P 1.63-1.64
O: 0.2105 0.3471 0.5411  1 P 1.50
O: 0.2182 0.2390 0.0625  1 P 1.50
O: 0.2414 0.2297 0.5793  1 P 1.50
O: 0.2482 0.4690 0.8513  1 P 1.50
O: 0.2585 0.3487 0.1353  2 P 1.63
O: 0.2580 0.4559 0.2008  1 P 1.50
O: 0.2707 0.3154 0.9599  2 P 1.63-1.64
O: 0.3230 0.4363 0.0662  2 P 1.63-1.64
O: 0.3241 0.1313 0.8488  2 P 1.63-1.64
O: 0.3302 0.2936 0.5001  2 P 1.63
O: 0.3431 0.0451 0.0238  2 P 1.63
O: 0.3681 0.0655 0.4835  1 P 1.49
O: 0.3757 0.4207 0.7463  1 P 1.50
O: 0.3873 0.3047 0.7213  2 P 1.63-1.64
O: 0.3877 0.0206 0.8718  2 P 1.62-1.63
O: 0.3895 0.0916 0.7225  1 P 1.50
O: 0.4012 0.1843 0.5474  1 P 1.49
O: 0.4111 0.2829 0.1734  1 P 1.49
O: 0.4376 0.2594 0.4220  1 P 1.50
O: 0.4378 0.4011 0.2875  1 P 1.50
O: 0.4856 0.3811 0.6749  2 P 1.62-1.65

Record 11
Material: CsNdP4O12
Method: DFT, PBE
State: optimized geometry

Summary:
DFT total energy ... -7.273 eV per atom
Energy above the most stable polymorph in this dataset ... 0.19 eV per formula unit
Uncorrected formation energy ... -2453 meV/atom
Total moment ... 0.00 μB/f.u.

a = 10.6553 Å, b = 9.1691 Å, c = 13.1534 Å
α = 90.00°, β = 124.05°, γ = 90.00°
Closest atoms and distances in Å follow each position.
Space group P2_1/c (No. 14)
Unique sites:
Cs: 0.2267 0.0653 0.0382  8 O 3.13-3.37
Nd: 0.3156 0.7254 0.8173  8 O 2.39-2.52
P: 0.0343 0.0322 0.2849  4 O 1.50-1.63
P: 0.2015 0.6025 0.0251  4 O 1.50-1.63
P: 0.3261 0.1751 0.3639  4 O 1.50-1.63
P: 0.3874 0.0923 0.7421  4 O 1.50-1.63
O: 0.0482 0.5369 0.9049  2 P 1.62-1.63
O: 0.0764 0.5782 0.7241  1 P 1.51
O: 0.1194 0.6003 0.2924  1 P 1.50
O: 0.1612 0.1612 0.3440  2 P 1.63
O: 0.1637 0.7052 0.0933  1 P 1.50
O: 0.2688 0.0498 0.6001  2 P 1.61-1.63
O: 0.2808 0.2065 0.7561  2 P 1.63
O: 0.3000 0.6580 0.9854  1 P 1.50
O: 0.3675 0.0356 0.3303  1 P 1.50
O: 0.4213 0.5376 0.3231  1 P 1.50
O: 0.4293 0.2435 0.4875  1 P 1.50
O: 0.4831 0.6745 0.7453  1 P 1.50

Record 12
Material: CsNdPO4
Method: DFT, PBE
State: optimized geometry

Summary:
DFT total energy ... -6.784 eV per atom
Uncorrected formation energy ... -2374 meV/atom
Total moment ... 0.00 μB/f.u.

a = 5.2721 Å, b = 6.1208 Å, c = 8.1579 Å
α = 90.00°, β = 104.19°, γ = 90.00°
Closest atoms and distances in Å follow each position.
Space group P2_1/m (No. 11)
Unique sites:
Cs: 0.2312 0.2500 0.0981  8 O 3.12-3.32
Nd: 0.1170 0.7500 0.4863  7 O 2.50-2.75
P: 0.4237 0.2500 0.6885  4 O 1.55-1.57
O: 0.2732 0.0435 0.7290  1 P 1.57
O: 0.2808 0.7500 0.2232  1 P 1.55
O: 0.3949 0.2500 0.4922  1 P 1.57